# 1
First-principles (PBE) data for crystalline Cd6InAg10 at its relaxed geometry, as listed in Alexandria.

Geometry as CIF:
```
data_Cd6InAg10
_chemical_formula_sum 'Cd6 In1 Ag10'
_cell_length_a 8.1825
_cell_length_b 8.1825
_cell_length_c 5.8005
_cell_angle_alpha 90.00
_cell_angle_beta 90.00
_cell_angle_gamma 120.00
_symmetry_space_group_name_H-M 'P -3 1 m'
_symmetry_Int_Tables_number 162
_symmetry_space_group_name_Hall '-P 3 2'
loop_
_atom_site_label
_atom_site_fract_x
_atom_site_fract_y
_atom_site_fract_z
_atom_site_occupancy
Cd1 0.0000 0.3645 0.3131 1
In1 0.0000 0.0000 0.5000 1
Ag1 0.0000 0.2908 0.8327 1
Ag2 0.3333 0.6667 0.0000 1
Ag3 0.3333 0.6667 0.5000 1
```

Values from the calculation:
Energy relative to the elements: -0.1 eV per formula unit
VASP energy: -36.88 eV/f.u.
DOS at the Fermi energy: 3.52 states/eV/cell



# 2
First-principles (PBE) data for crystalline Ac8NiOs3I4 at its relaxed geometry, as listed in Alexandria.

Geometry as CIF:
```
data_Ac8NiOs3I4
_chemical_formula_sum 'Ac24 Ni3 Os9 I12'
_cell_length_a 8.7501
_cell_length_b 8.7501
_cell_length_c 25.8625
_cell_angle_alpha 90.00
_cell_angle_beta 90.00
_cell_angle_gamma 120.00
_symmetry_space_group_name_H-M 'R -3 m'
_symmetry_Int_Tables_number 166
_symmetry_space_group_name_Hall '-R 3 2"'
loop_
_atom_site_label
_atom_site_fract_x
_atom_site_fract_y
_atom_site_fract_z
_atom_site_occupancy
Ac1 0.0000 0.0000 0.2283 1
Ac2 0.0057 0.5029 0.7724 1
Ni1 0.0000 0.0000 0.5000 1
Os1 0.0000 0.5000 0.5000 1
I1 0.0000 0.0000 0.0000 1
I2 0.0000 0.5000 0.0000 1
```

Values from the calculation:
ΔE_f (raw): -0.642 eV/atom
VASP energy: -88.81 eV/f.u.
DOS at the Fermi energy: 23.88 states/eV/cell



# 3
First-principles (PBE) data for crystalline Sm2TmHg at its relaxed geometry, as listed in Alexandria.

Geometry as CIF:
```
data_Sm2TmHg
_chemical_formula_sum 'Sm6 Tm3 Hg3'
_cell_length_a 3.6665
_cell_length_b 3.6665
_cell_length_c 31.8261
_cell_angle_alpha 90.00
_cell_angle_beta 90.00
_cell_angle_gamma 120.00
_symmetry_space_group_name_H-M 'R 3 m'
_symmetry_Int_Tables_number 160
_symmetry_space_group_name_Hall 'R 3 -2"'
loop_
_atom_site_label
_atom_site_fract_x
_atom_site_fract_y
_atom_site_fract_z
_atom_site_occupancy
Sm1 0.0000 0.0000 0.0000 1
Sm2 0.0000 0.0000 0.1777 1
Tm1 0.0000 0.0000 0.4220 1
Hg1 0.0000 0.0000 0.5888 1
```

Values from the calculation:
Energy relative to the elements: -0.6 eV per formula unit
VASP energy: -14.77 eV/f.u.
DOS at the Fermi energy: 16.46 states/eV/cell
ΔE to the lowest computed polymorph: 87.5 meV per atom



# 4
First-principles (PBE) data for crystalline RbNdMnBr6 at its relaxed geometry, as listed in Alexandria.

Geometry as CIF:
```
data_RbNdMnBr6
_chemical_formula_sum 'Rb2 Nd2 Mn2 Br12'
_cell_length_a 7.3167
_cell_length_b 7.3167
_cell_length_c 15.2872
_cell_angle_alpha 90.00
_cell_angle_beta 90.00
_cell_angle_gamma 120.00
_symmetry_space_group_name_H-M 'P -3 1 c'
_symmetry_Int_Tables_number 163
_symmetry_space_group_name_Hall '-P 3 2c'
loop_
_atom_site_label
_atom_site_fract_x
_atom_site_fract_y
_atom_site_fract_z
_atom_site_occupancy
Rb1 0.0000 0.0000 0.0000 1
Nd1 0.3333 0.6667 0.2500 1
Mn1 0.3333 0.6667 0.7500 1
Br1 0.0203 0.3840 0.6446 1
```

Values from the calculation:
ΔE_f (raw): -1.499 eV/atom
VASP energy: -38.43 eV/f.u.
DOS at the Fermi energy: 0.00 states/eV/cell